Record 1
## NaCePrTl (PBE)

Data for an optimized crystal structure of NaCePrTl.

a b c (Å): 7.885 7.885 7.885
angles (deg): 90.00 90.00 90.00
Space group F-43m (No. 216)
Symmetry-distinct sites (fractional):
Na  0.000  0.000  0.000 (multiplicity 4)
Ce  0.250  0.250  0.250 (multiplicity 4)
Pr  0.250  0.250  0.750 (multiplicity 4)
Tl  0.000  0.000  0.500 (multiplicity 4)

* DOS at the Fermi energy: 11.673 states/eV/f.u.
* energy relative to the elements: 0.018 eV per atom

=====

Record 2
## Re2PtW (PBE)

Data for an optimized crystal structure of Re2PtW.

a b c (Å): 3.955 3.955 7.824
angles (deg): 90.00 90.00 90.00
Space group I4/mmm (No. 139)
Symmetry-distinct sites (fractional):
Re  0.000  0.500  0.250 (multiplicity 4)
Pt  0.000  0.000  0.000 (multiplicity 2)
W  0.000  0.000  0.500 (multiplicity 2)

* DOS at the Fermi energy: 3.187 states/eV/f.u.
* energy relative to the elements: -0.022 eV per atom

=====

Record 3
## Rb3Na2Cd2Au4 (PBE)

Data for an optimized crystal structure of Rb3Na2Cd2Au4.

a b c (Å): 4.9089 4.9089 18.3298
angles (deg): 90.00 90.00 120.00
Space group P-3m1 (No. 164)
Symmetry-distinct sites (fractional):
Rb  0.0000  0.0000  0.0000 (multiplicity 1)
Rb  0.0000  0.0000  0.2672 (multiplicity 2)
Na  0.3333  0.6667  0.5576 (multiplicity 2)
Cd  0.3333  0.6667  0.1354 (multiplicity 2)
Au  0.3333  0.6667  0.3922 (multiplicity 2)
Au  0.3333  0.6667  0.8659 (multiplicity 2)

* DOS at the Fermi energy: 4.082 states/eV/f.u.
* energy relative to the elements: -0.208 eV per atom

=====

Record 4
## SmOsPbO6 (PBE)

Data for an optimized crystal structure of SmOsPbO6.

a b c (Å): 5.7223 5.7223 9.9014
angles (deg): 90.00 90.00 120.00
Space group P-31c (No. 163)
Symmetry-distinct sites (fractional):
Sm  0.3333  0.6667  0.2500 (multiplicity 2)
Os  0.3333  0.6667  0.7500 (multiplicity 2)
Pb  0.0000  0.0000  0.0000 (multiplicity 2)
O  0.0523  0.3966  0.6404 (multiplicity 12)

* DOS at the Fermi energy: 4.045 states/eV/f.u.
* formation energy from raw total energies: -1.65 eV per atom

=====

Record 5
## ZrCuAs (PBE)

Data for an optimized crystal structure of ZrCuAs.

a b c (Å): 3.296 3.296 9.497
angles (deg): 90.00 90.00 90.00
Space group I4mm (No. 107)
Symmetry-distinct sites (fractional):
Zr  0.000  0.000  0.000 (multiplicity 2)
Cu  0.000  0.000  0.678 (multiplicity 2)
As  0.000  0.000  0.305 (multiplicity 2)

* DOS at the Fermi energy: 2.094 states/eV/f.u.
* energy relative to the elements: -0.277 eV per atom

=====

Record 6
## Nd5Se4Br (PBE)

Data for an optimized crystal structure of Nd5Se4Br.

a b c (Å): 4.1802 4.1802 53.9534
angles (deg): 90.00 90.00 120.00
Space group R-3m (No. 166, hexagonal axes)
Symmetry-distinct sites (fractional):
Nd  0.0000  0.0000  0.0000 (multiplicity 3)
Nd  0.0000  0.0000  0.2055 (multiplicity 6)
Nd  0.0000  0.0000  0.3994 (multiplicity 6)
Se  0.0000  0.0000  0.0976 (multiplicity 6)
Se  0.0000  0.0000  0.3006 (multiplicity 6)
Br  0.0000  0.0000  0.5000 (multiplicity 3)

* DOS at the Fermi energy: 6.452 states/eV/f.u.
* formation energy from raw total energies: -1.68 eV per atom

=====

Record 7
## Ba3Ga8Au3 (PBE)

Data for an optimized crystal structure of Ba3Ga8Au3.

a b c (Å): 4.540 11.640 12.932
angles (deg): 90.00 90.00 90.00
Space group Immm (No. 71)
Symmetry-distinct sites (fractional):
Ba  0.000  0.000  0.000 (multiplicity 2)
Ba  0.000  0.000  0.310 (multiplicity 4)
Ga  0.000  0.292  0.113 (multiplicity 8)
Ga  0.000  0.336  0.317 (multiplicity 8)
Au  0.000  0.237  0.500 (multiplicity 4)
Au  0.000  0.500  0.000 (multiplicity 2)

* DOS at the Fermi energy: 3.535 states/eV/f.u.
* energy relative to the elements: -0.435 eV per atom

=====

Record 8
## KScSb2 (PBE)

Data for an optimized crystal structure of KScSb2.

a b c (Å): 7.245 8.981 3.346
angles (deg): 90.00 91.04 90.00
Space group C2/m (No. 12)
Symmetry-distinct sites (fractional):
K  0.000  0.000  0.000 (multiplicity 2)
Sc  0.000  0.500  0.000 (multiplicity 2)
Sb  0.250  0.250  0.500 (multiplicity 4)

* DOS at the Fermi energy: 2.574 states/eV/f.u.
* formation energy from raw total energies: -0.29 eV per atom

=====

no.,E_tot (eV/atom)
1,-3.582
2,-10.994
3,-2.070
4,-7.144
5,-6.042
6,-5.620
7,-3.279
8,-4.210